No. 1
{"formula": "KZrSc", "functional": "PBE-GGA", "state": "optimized geometry", "lattice": [[9.301, -0.018, -0.043], [1.516, 5.070, -0.005], [-6.268, 1.878, 3.961]], "species": ["K", "K", "Sc", "Zr", "Zr", "Sc"], "frac_coords": [[0.607, 0.765, 0.388], [0.940, 0.097, 0.718], [0.607, 0.765, 0.887], [0.274, 0.431, 0.726], [0.273, 0.431, 0.380], [0.940, 0.098, 0.219]], "crystal_system": "trigonal", "polymorph_energy_ev_per_fu": 0.816, "formation_energy_ev_per_fu": 1.715}

***

No. 2
{"formula": "K2ZrSc", "functional": "PBE-GGA", "state": "optimized geometry", "lattice": [[-4.219, -3.497, 0.434], [-1.606, -5.251, -0.254], [1.653, -1.361, 9.751]], "species": ["Zr", "K", "K", "Sc"], "frac_coords": [[0.242, 0.242, 0.340], [0.753, 0.753, 0.692], [0.994, 0.994, 0.060], [0.512, 0.512, 0.408]], "crystal_system": "monoclinic", "polymorph_energy_ev_per_fu": 1.126, "formation_energy_ev_per_fu": 2.771}

***

No. 3
{"formula": "K2ZrSc", "functional": "PBE-GGA", "state": "optimized geometry", "lattice": [[3.180, 0.000, 0.000], [0.000, 6.802, 0.000], [0.000, 0.000, 6.396]], "species": ["Sc", "K", "K", "Zr"], "frac_coords": [[0.500, 0.500, 0.250], [0.000, 0.000, 0.997], [0.000, 0.000, 0.503], [0.500, 0.500, 0.750]], "crystal_system": "orthorhombic", "polymorph_energy_ev_per_fu": 1.991, "formation_energy_ev_per_fu": 3.636}

***

No. 4
{"formula": "K2ZrSc", "functional": "PBE-GGA", "state": "optimized geometry", "lattice": [[-6.674, -0.670, 0.946], [0.640, -4.241, 1.511], [0.443, 1.578, 4.242]], "species": ["Zr", "K", "Sc", "K"], "frac_coords": [[0.500, 0.000, 0.500], [0.000, 0.000, 0.000], [0.500, 0.500, 0.000], [0.000, 0.500, 0.500]], "crystal_system": "tetragonal", "polymorph_energy_ev_per_fu": 2.053, "formation_energy_ev_per_fu": 3.698}

***

No. 5
{"formula": "K2ZrSc", "functional": "PBE-GGA", "state": "optimized geometry", "lattice": [[7.643, -0.004, 0.001], [-4.733, 6.001, 0.001], [0.668, 1.378, 2.895]], "species": ["K", "Zr", "K", "Sc"], "frac_coords": [[0.500, 0.500, 0.000], [0.000, 0.500, 0.500], [0.000, 0.000, 0.000], [0.500, 0.000, 0.500]], "crystal_system": "monoclinic", "polymorph_energy_ev_per_fu": 1.572, "formation_energy_ev_per_fu": 3.217}

***

No. 6
{"formula": "KZr4Sc", "functional": "PBE-GGA", "state": "optimized geometry", "lattice": [[0.000, 4.325, 4.325], [4.325, 0.000, 4.325], [4.325, 4.325, 0.000]], "species": ["Sc", "Zr", "Zr", "Zr", "K", "Zr"], "frac_coords": [[0.000, 0.000, 0.000], [0.370, 0.889, 0.370], [0.370, 0.370, 0.889], [0.370, 0.370, 0.370], [0.750, 0.750, 0.750], [0.889, 0.370, 0.370]], "crystal_system": "cubic", "formation_energy_ev_per_fu": 3.814}

***

No. 7
{"formula": "KZrSc", "functional": "PBE-GGA", "state": "optimized geometry", "lattice": [[6.245, -0.019, 0.015], [-1.274, 12.836, 0.040], [-1.835, 0.175, 2.836]], "species": ["Sc", "Zr", "K", "K", "Sc", "Zr"], "frac_coords": [[0.309, 0.486, 0.862], [0.801, 0.508, 0.845], [0.762, 0.237, 0.418], [0.230, 0.948, 0.594], [0.684, 0.700, 0.150], [0.192, 0.677, 0.167]], "crystal_system": "triclinic", "polymorph_energy_ev_per_fu": 0.124, "formation_energy_ev_per_fu": 1.023}

***

No. 8
{"formula": "KZrSc3", "functional": "PBE-GGA", "state": "optimized geometry", "lattice": [[-2.891, 4.604, 0.641], [-4.451, -2.524, -1.947], [-1.342, -1.550, 5.076]], "species": ["Sc", "Zr", "K", "Sc", "Sc"], "frac_coords": [[0.000, 0.000, 0.500], [0.000, 0.000, 0.000], [0.500, 0.500, 0.500], [0.000, 0.500, 0.000], [0.500, 0.000, 0.000]], "crystal_system": "cubic", "polymorph_energy_ev_per_fu": 0.000, "formation_energy_ev_per_fu": 3.667}

***

No. 9
{"formula": "KZrSc", "functional": "PBE-GGA", "state": "optimized geometry", "lattice": [[-3.454, -1.482, 2.183], [-0.246, -3.428, -2.716], [7.380, -8.156, 6.222]], "species": ["K", "Zr", "Sc", "Zr", "K", "Sc"], "frac_coords": [[0.148, 0.091, 0.634], [0.637, 0.225, 0.359], [0.139, 0.307, 0.188], [0.638, 0.803, 0.198], [0.645, 0.442, 0.925], [0.137, 0.719, 0.371]], "crystal_system": "triclinic", "polymorph_energy_ev_per_fu": 0.007, "formation_energy_ev_per_fu": 0.906}

***

No. 10
{"formula": "KZrSc", "functional": "PBE-GGA", "state": "optimized geometry", "lattice": [[6.467, 0.006, 0.020], [-0.004, 3.284, 0.002], [-1.734, -0.220, 8.976]], "species": ["K", "Zr", "Sc", "Sc", "Zr", "K"], "frac_coords": [[0.795, 0.529, 0.763], [0.645, 0.508, 0.168], [0.150, 0.507, 0.160], [0.955, 0.023, 0.398], [0.460, 0.022, 0.390], [0.311, 0.000, 0.796]], "crystal_system": "triclinic", "polymorph_energy_ev_per_fu": 0.346, "formation_energy_ev_per_fu": 1.245}

***

No. 11
{"formula": "K2ZrSc", "functional": "PBE-GGA", "state": "optimized geometry", "lattice": [[-2.767, -9.144, 2.021], [4.899, -3.209, -7.814], [3.502, -6.543, -1.219]], "species": ["K", "K", "Sc", "Sc", "Zr", "K", "Zr", "K"], "frac_coords": [[0.875, 0.872, 0.750], [0.128, 0.625, 0.250], [0.250, 0.750, 0.500], [0.500, 0.500, 0.000], [0.000, 0.000, 0.000], [0.622, 0.125, 0.250], [0.750, 0.250, 0.500], [0.375, 0.378, 0.750]], "crystal_system": "tetragonal", "polymorph_energy_ev_per_fu": 3.344, "formation_energy_ev_per_fu": 4.989}

***

No. 12
{"formula": "K2ZrSc", "functional": "PBE-GGA", "state": "optimized geometry", "lattice": [[13.869, -0.031, -0.018], [13.471, 3.300, -0.018], [13.471, 1.611, 2.880]], "species": ["K", "Zr", "Sc", "K"], "frac_coords": [[0.001, 0.001, 0.001], [0.750, 0.750, 0.750], [0.250, 0.250, 0.250], [0.499, 0.499, 0.499]], "crystal_system": "trigonal", "polymorph_energy_ev_per_fu": 1.538, "formation_energy_ev_per_fu": 3.183}

***

No. 13
{"formula": "KZrSc", "functional": "PBE-GGA", "state": "optimized geometry", "lattice": [[-2.345, 0.583, 2.257], [-0.189, -11.611, 5.054], [3.582, 1.403, 3.358]], "species": ["K", "Sc", "Zr", "K", "Sc", "Zr"], "frac_coords": [[0.995, 0.954, 0.734], [0.194, 0.526, 0.234], [0.136, 0.652, 0.734], [0.329, 0.232, 0.234], [0.593, 0.743, 0.234], [0.730, 0.449, 0.734]], "crystal_system": "monoclinic", "polymorph_energy_ev_per_fu": 0.092, "formation_energy_ev_per_fu": 0.991}

***

No. 14
{"formula": "K2ZrSc", "functional": "PBE-GGA", "state": "optimized geometry", "lattice": [[-4.328, 4.941, 2.042], [-1.631, -0.264, -2.819], [-3.588, -4.089, 2.289]], "species": ["K", "Zr", "K", "Sc"], "frac_coords": [[0.000, 0.498, 0.501], [0.500, 0.750, 0.750], [0.000, 0.002, 0.999], [0.500, 0.250, 0.250]], "crystal_system": "monoclinic", "polymorph_energy_ev_per_fu": 1.563, "formation_energy_ev_per_fu": 3.208}

***

Calculated values (states/eV/atom) of D(E_F) for the records, taken in order: 1.983 1.489 1.399 1.567 1.482 1.250 1.535 1.557 1.200 1.063 1.328 1.386 1.098 1.378.
Calculated values (μB/atom) of magnetization for the records, taken in order: 0.00 0.00 0.33 0.63 0.36 0.00 0.00 0.17 0.00 0.00 0.00 0.48 0.14 0.35.